Record 1
The following is a PBE-GGA calculation of an optimized crystal structure of CeNi2As, from Alexandria via LeMat-Bulk.

Properties
**ΔE_f**: -52.3 kJ/mol of atoms
**N(E_F)**: 2.60 states/eV/f.u.
**Symmetry**: Pmmm
**Magnetic moment**: 0.10 μB/cell

a b c (Å): 3.9804 3.8469 4.8512
angles (deg): 90.00 90.00 90.00
Closest atoms and distances in Å follow each position.
Element x y z (fractional)
As (0.5000, 0.0000, 0.5000)  4 Ni 2.35
Ni (0.0000, 0.9997, 0.7558)  2 As 2.35, 2 Ni 2.37-2.48
Ni (0.0000, 0.0003, 0.2442)  2 As 2.35, 2 Ni 2.37-2.48
Ce (0.5000, 0.5000, 0.0000)  8 Ni 3.01, 4 As 3.10

Record 2
The following is a PBE-GGA calculation of an optimized crystal structure of BaReAu2, from Alexandria via LeMat-Bulk.

Properties
**ΔE_f**: 60.6 kJ/mol of atoms
**N(E_F)**: 3.54 states/eV/f.u.
**Symmetry**: Cmmm
**ΔE to the lowest computed polymorph**: 397 meV per atom
**Magnetic moment**: 0.62 μB/cell

a b c (Å): 7.5107 5.3371 3.0797
angles (deg): 90.04 65.72 125.80
Closest atoms and distances in Å follow each position.
Element x y z (fractional)
Ba (0.0000, 0.5000, 0.5000)  2 Ba 3.08, 8 Au 3.08, 2 Re 3.42
Re (0.5000, 0.5000, 0.0000)  2 Re 3.08, 8 Au 3.08, 2 Ba 3.42
Au (0.0000, 0.0000, 0.0000)  4 Au 3.08-3.42, 4 Ba 3.08, 4 Re 3.08
Au (0.5000, 0.0000, 0.5000)  4 Au 3.08-3.42, 4 Re 3.08, 4 Ba 3.08

Record 3
The following is a PBE-GGA calculation of an optimized crystal structure of LaPmGaSb, from Alexandria via LeMat-Bulk.

Properties
**N(E_F)**: 4.98 states/eV/f.u.
**Total energy**: -19.4 eV for the cell shown
**Symmetry**: F-43m
**Magnetic moment**: 0.00 μB/cell

a b c (Å): 5.4169 5.4169 5.4169
angles (deg): 60.00 60.00 60.00
Closest atoms and distances in Å follow each position.
Element x y z (fractional)
Ga (0.2500, 0.2500, 0.2500)  4 Pm 3.32, 4 La 3.32
La (0.5000, 0.5000, 0.5000)  4 Ga 3.32, 4 Sb 3.32
Pm (0.0000, 0.0000, 0.0000)  4 Sb 3.32, 4 Ga 3.32
Sb (0.7500, 0.7500, 0.7500)  4 La 3.32, 4 Pm 3.32

Record 4
The following is a PBE-GGA calculation of an optimized crystal structure of DyZn6Ni6, from Alexandria via LeMat-Bulk.

Properties
**ΔE_f**: -29.0 kJ/mol of atoms
**N(E_F)**: 7.17 states/eV/f.u.
**Symmetry**: Immm
**Magnetic moment**: 0.00 μB/cell

a b c (Å): 4.9483 6.4812 6.4812
angles (deg): 79.90 67.56 67.56
Closest atoms and distances in Å follow each position.
Element x y z (fractional)
Ni (0.5000, 0.2296, 0.7704)  4 Ni 2.49, 6 Zn 2.58-2.65
Ni (0.0000, 0.0000, 0.5000)  6 Zn 2.46-2.60, 4 Ni 2.47-2.49
Ni (0.5000, 0.7704, 0.2296)  4 Ni 2.49, 6 Zn 2.58-2.65
Ni (0.0000, 0.5000, 0.0000)  6 Zn 2.46-2.60, 4 Ni 2.47-2.49
Ni (0.5000, 0.0000, 0.5000)  6 Zn 2.46-2.60, 4 Ni 2.47-2.49
Ni (0.5000, 0.5000, 0.0000)  6 Zn 2.46-2.60, 4 Ni 2.47-2.49
Zn (0.7008, 0.7992, 0.7992)  6 Ni 2.46-2.58
Zn (0.3503, 0.6497, 0.6497)  6 Ni 2.57-2.59, 3 Zn 2.58-2.79
Zn (0.6497, 0.3503, 0.3503)  6 Ni 2.57-2.59, 3 Zn 2.58-2.79
Zn (0.2992, 0.2008, 0.2008)  6 Ni 2.46-2.58
Zn (0.0000, 0.3425, 0.6575)  6 Ni 2.60-2.65, 3 Zn 2.62-2.89, 1 Dy 2.85
Zn (0.0000, 0.6575, 0.3425)  6 Ni 2.60-2.65, 3 Zn 2.62-2.89, 1 Dy 2.85
Dy (0.0000, 0.0000, 0.0000)  8 Zn 2.85-3.02, 4 Ni 3.13

Record 5
The following is a PBE-GGA calculation of an optimized crystal structure of Sm3Er4Ru4, from Alexandria via LeMat-Bulk.

Properties
**ΔE_f**: -27.7 kJ/mol of atoms
**N(E_F)**: 5.57 states/eV/f.u.
**Symmetry**: Immm
**Magnetic moment**: 0.00 μB/cell

a b c (Å): 3.6024 8.9477 9.3856
angles (deg): 118.47 101.06 90.00
Closest atoms and distances in Å follow each position.
Element x y z (fractional)
Er (0.3340, 0.5233, 0.6679)  4 Ru 2.77-3.07
Er (0.3340, 0.1446, 0.6679)  4 Ru 2.77-3.07
Er (0.6660, 0.4767, 0.3321)  4 Ru 2.77-3.07
Er (0.6660, 0.8554, 0.3321)  4 Ru 2.77-3.07
Ru (0.5000, 0.7721, 0.0000)  2 Er 2.77, 2 Sm 3.03
Ru (0.2536, 0.7536, 0.5073)  6 Er 2.85-3.07, 2 Sm 2.97
Ru (0.7464, 0.2464, 0.4927)  6 Er 2.85-3.07, 2 Sm 2.97
Ru (0.5000, 0.2279, 0.0000)  2 Er 2.77, 2 Sm 3.03
Sm (0.0995, 0.0995, 0.1989)  6 Ru 2.97-3.16, 1 Sm 3.20
Sm (0.0000, 0.5000, 0.0000)  4 Ru 3.03
Sm (0.9005, 0.9005, 0.8011)  6 Ru 2.97-3.16, 1 Sm 3.20

Please write out number 4 again, unchanged.
The following is a PBE-GGA calculation of an optimized crystal structure of DyZn6Ni6, from Alexandria via LeMat-Bulk.

Properties
**ΔE_f**: -29.0 kJ/mol of atoms
**N(E_F)**: 7.17 states/eV/f.u.
**Symmetry**: Immm
**Magnetic moment**: 0.00 μB/cell

a b c (Å): 4.9483 6.4812 6.4812
angles (deg): 79.90 67.56 67.56
Closest atoms and distances in Å follow each position.
Element x y z (fractional)
Ni (0.5000, 0.2296, 0.7704)  4 Ni 2.49, 6 Zn 2.58-2.65
Ni (0.0000, 0.0000, 0.5000)  6 Zn 2.46-2.60, 4 Ni 2.47-2.49
Ni (0.5000, 0.7704, 0.2296)  4 Ni 2.49, 6 Zn 2.58-2.65
Ni (0.0000, 0.5000, 0.0000)  6 Zn 2.46-2.60, 4 Ni 2.47-2.49
Ni (0.5000, 0.0000, 0.5000)  6 Zn 2.46-2.60, 4 Ni 2.47-2.49
Ni (0.5000, 0.5000, 0.0000)  6 Zn 2.46-2.60, 4 Ni 2.47-2.49
Zn (0.7008, 0.7992, 0.7992)  6 Ni 2.46-2.58
Zn (0.3503, 0.6497, 0.6497)  6 Ni 2.57-2.59, 3 Zn 2.58-2.79
Zn (0.6497, 0.3503, 0.3503)  6 Ni 2.57-2.59, 3 Zn 2.58-2.79
Zn (0.2992, 0.2008, 0.2008)  6 Ni 2.46-2.58
Zn (0.0000, 0.3425, 0.6575)  6 Ni 2.60-2.65, 3 Zn 2.62-2.89, 1 Dy 2.85
Zn (0.0000, 0.6575, 0.3425)  6 Ni 2.60-2.65, 3 Zn 2.62-2.89, 1 Dy 2.85
Dy (0.0000, 0.0000, 0.0000)  8 Zn 2.85-3.02, 4 Ni 3.13

> What is the N(E_F) in the second record?

3.54 states/eV/f.u.

> Among the records above, which one has the lowest N(E_F)?

CeNi2As